# 1
First-principles (GGA-PBE) data for a relaxed structure of CdReS3, as listed in the Alexandria database.

Summary:
Relative energy among the computed polymorphs in meV per atom: 1386
SG: Pm-3m
Calculated total energy in eV per atom: -3.548
Magnetization in μB/f.u.: 3.8

Cell: 4.8996 4.8996 4.8996 Å, 90.00 90.00 90.00°
Positions (direct):
Cd1 0.0000 0.0000 0.0000
Re1 0.5000 0.5000 0.5000
S1 0.0000 0.0000 0.5000
S2 0.0000 0.5000 0.0000
S3 0.5000 0.0000 0.0000



# 2
First-principles (GGA-PBE) data for a relaxed structure of RbNp4Co3S12, as listed in the Alexandria database.

Summary:
SG: Im-3
Calculated total energy in eV per atom: -6.930
Magnetization in μB/f.u.: 13.9

Cell: 8.3390 8.3390 8.3390 Å, 109.47 109.47 109.47°
Positions (direct):
Rb1 0.0000 0.0000 0.0000
Np1 0.0000 0.0000 0.5000
Np2 0.0000 0.5000 0.0000
Np3 0.5000 0.0000 0.0000
Np4 0.5000 0.5000 0.5000
Co1 0.0000 0.5000 0.5000
Co2 0.5000 0.0000 0.5000
Co3 0.5000 0.5000 0.0000
S1 0.1629 0.3308 0.4937
S2 0.1629 0.6692 0.8320
S3 0.1680 0.8371 0.3308
S4 0.3308 0.1680 0.8371
S5 0.3308 0.4937 0.1629
S6 0.4937 0.1629 0.3308
S7 0.5063 0.8371 0.6692
S8 0.6692 0.5063 0.8371
S9 0.6692 0.8320 0.1629
S10 0.8320 0.1629 0.6692
S11 0.8371 0.3308 0.1680
S12 0.8371 0.6692 0.5063



# 3
First-principles (GGA-PBE) data for a relaxed structure of LiNiPd, as listed in the Alexandria database.

Summary:
Relative energy among the computed polymorphs in meV per atom: 63
Energy relative to the elements in eV/atom: -0.060
SG: I4mm
Calculated total energy in eV per atom: -4.356
Magnetization in μB/f.u.: 0.5

Cell: 4.8324 4.8324 4.8324 Å, 144.45 144.45 51.16°
Positions (direct):
Li1 0.0000 0.0000 0.0000
Ni1 0.6548 0.6548 0.0000
Pd1 0.3315 0.3315 0.0000



# 4
First-principles (GGA-PBE) data for a relaxed structure of Pm2GaBi, as listed in the Alexandria database.

Summary:
Relative energy among the computed polymorphs in meV per atom: 122
Energy relative to the elements in eV/atom: -0.593
SG: R-3m
Calculated total energy in eV per atom: -4.695
Magnetization in μB/f.u.: 0.0

Cell: 8.0128 8.0128 8.0128 Å, 31.42 31.42 31.42°
Positions (direct):
Pm1 0.2481 0.2481 0.2481
Pm2 0.7519 0.7519 0.7519
Ga1 0.5000 0.5000 0.5000
Bi1 0.0000 0.0000 0.0000



# 5
First-principles (GGA-PBE) data for a relaxed structure of HfSeSN2, as listed in the Alexandria database.

Summary:
Relative energy among the computed polymorphs in meV per atom: 382
SG: P4/mmm
Calculated total energy in eV per atom: -5.922
Magnetization in μB/f.u.: 0.0

Cell: 3.8532 3.8532 4.5733 Å, 90.00 90.00 90.00°
Positions (direct):
Hf1 0.0000 0.0000 0.0000
Se1 0.5000 0.5000 0.5000
S1 0.5000 0.5000 0.0000
N1 0.0000 0.5000 0.5000
N2 0.5000 0.0000 0.5000



# 6
First-principles (GGA-PBE) data for a relaxed structure of Sm2Se2Cl, as listed in the Alexandria database.

Summary:
Relative energy among the computed polymorphs in meV per atom: 76
SG: Immm
Calculated total energy in eV per atom: -5.507
Magnetization in μB/f.u.: 0.0

Cell: 7.0549 7.0549 7.0549 Å, 145.98 131.69 60.41°
Positions (direct):
Sm1 0.1720 0.1720 0.0000
Sm2 0.8280 0.8280 0.0000
Se1 0.3376 0.8376 0.5000
Se2 0.6624 0.1624 0.5000
Cl1 0.0000 0.5000 0.5000



# 7
First-principles (GGA-PBE) data for a relaxed structure of RbLiCd2Pd, as listed in the Alexandria database.

Summary:
Energy relative to the elements in eV/atom: -0.168
SG: P4/mmm
Calculated total energy in eV per atom: -2.149
Magnetization in μB/f.u.: 0.0

Cell: 5.3742 5.3742 5.0335 Å, 90.00 90.00 90.00°
Positions (direct):
Rb1 0.0000 0.0000 0.0000
Li1 0.5000 0.5000 0.0000
Cd1 0.0000 0.5000 0.5000
Cd2 0.5000 0.0000 0.5000
Pd1 0.5000 0.5000 0.5000



# 8
First-principles (GGA-PBE) data for a relaxed structure of Th4Sb2Pd, as listed in the Alexandria database.

Summary:
SG: C2/m
Calculated total energy in eV per atom: -6.651
Magnetization in μB/f.u.: 0.0

Cell: 8.4670 8.4670 7.2549 Å, 115.33 115.33 28.76°
Positions (direct):
Th1 0.1086 0.1086 0.2674
Th2 0.3888 0.3888 0.2132
Th3 0.6112 0.6112 0.7868
Th4 0.8914 0.8914 0.7326
Sb1 0.2490 0.2490 0.7432
Sb2 0.7510 0.7510 0.2568
Pd1 0.0000 0.0000 0.5000



# 9
First-principles (GGA-PBE) data for a relaxed structure of U3Cu3S8, as listed in the Alexandria database.

Summary:
SG: R-3m
Calculated total energy in eV per atom: -6.572
Magnetization in μB/f.u.: 5.0

Cell: 7.3581 7.3581 7.3581 Å, 63.89 63.89 63.89°
Positions (direct):
U1 0.0000 0.5000 0.5000
U2 0.5000 0.0000 0.5000
U3 0.5000 0.5000 0.0000
Cu1 0.1161 0.1161 0.1161
Cu2 0.5000 0.5000 0.5000
Cu3 0.8839 0.8839 0.8839
S1 0.2488 0.2488 0.2488
S2 0.2524 0.2524 0.7437
S3 0.2524 0.7437 0.2524
S4 0.2563 0.7476 0.7476
S5 0.7437 0.2524 0.2524
S6 0.7476 0.2563 0.7476
S7 0.7476 0.7476 0.2563
S8 0.7512 0.7512 0.7512



# 10
First-principles (GGA-PBE) data for a relaxed structure of CeTc2Ge6, as listed in the Alexandria database.

Summary:
Energy relative to the elements in eV/atom: -0.109
SG: C2/m
Calculated total energy in eV per atom: -6.151
Magnetization in μB/f.u.: 0.7

Cell: 6.6450 6.6450 4.7135 Å, 96.27 96.27 59.27°
Positions (direct):
Ce1 0.0000 0.0000 0.0000
Tc1 0.3234 0.3234 0.2400
Tc2 0.6766 0.6766 0.7600
Ge1 0.1129 0.5054 0.7576
Ge2 0.3013 0.6987 0.5000
Ge3 0.4946 0.8871 0.2424
Ge4 0.5054 0.1129 0.7576
Ge5 0.6987 0.3013 0.5000
Ge6 0.8871 0.4946 0.2424



# 11
First-principles (GGA-PBE) data for a relaxed structure of TmScHg, as listed in the Alexandria database.

Summary:
Relative energy among the computed polymorphs in meV per atom: 37
Energy relative to the elements in eV/atom: -0.279
SG: I4mm
Calculated total energy in eV per atom: -3.980
Magnetization in μB/f.u.: 1.2

Cell: 6.6503 6.6503 6.6503 Å, 149.72 149.72 43.35°
Positions (direct):
Tm1 0.0000 0.0000 0.0000
Sc1 0.3128 0.3128 0.0000
Hg1 0.6662 0.6662 0.0000



# 12
First-principles (GGA-PBE) data for a relaxed structure of PuTePd3, as listed in the Alexandria database.

Summary:
SG: Pmmn
Calculated total energy in eV per atom: -7.087
Magnetization in μB/f.u.: 5.0

Cell: 4.7156 6.4174 6.6561 Å, 90.00 90.00 90.00°
Positions (direct):
Pu1 0.2500 0.2500 0.2055
Pu2 0.7500 0.7500 0.7945
Te1 0.2500 0.7500 0.4598
Te2 0.7500 0.2500 0.5402
Pd1 0.2500 0.0404 0.7631
Pd2 0.2500 0.4596 0.7631
Pd3 0.2500 0.7500 0.0712
Pd4 0.7500 0.2500 0.9288
Pd5 0.7500 0.5404 0.2369
Pd6 0.7500 0.9596 0.2369